Record 1
A geometry-optimized Ba2Be2Tc structure. Source: the Alexandria database, functional GGA-PBE.

Cell: 5.6021 5.6021 5.6021 Å, 112.21 112.21 104.13°
With the nearest neighbours (Å) after each atom.
Fractional positions:
Ba 0.2500 0.7500 0.5000  4 Be 3.18, 2 Ba 3.44
Ba 0.7500 0.2500 0.5000  4 Be 3.18, 2 Ba 3.44
Be 0.1622 0.1622 0.0000  1 Be 2.23, 1 Tc 2.33
Be 0.8378 0.8378 0.0000  1 Be 2.23, 1 Tc 2.33
Tc 0.5000 0.5000 0.0000  2 Be 2.33

Summary:
D(E_F) = 6.3 states/eV/f.u.
Formation energy from the elements = 0.917 eV per atom
Polymorph energy (0 for the lowest one) = 82 meV per atom



Record 2
A geometry-optimized SmBRh structure. Source: the Alexandria database, functional GGA-PBE.

Cell: 3.7206 3.7206 4.2870 Å, 90.00 90.00 120.00°
With the nearest neighbours (Å) after each atom.
Fractional positions:
Sm 0.0000 0.0000 0.0000  6 Rh 3.03, 6 B 3.03
B 0.3333 0.6667 0.5000  3 Rh 2.15
Rh 0.6667 0.3333 0.5000  3 B 2.15

Summary:
D(E_F) = 2.7 states/eV/f.u.
Formation energy from the elements = -0.509 eV per atom
Polymorph energy (0 for the lowest one) = 9 meV per atom



Record 3
A geometry-optimized Re2Rh structure. Source: the Alexandria database, functional GGA-PBE.

Cell: 2.7488 2.7488 6.7563 Å, 90.00 90.00 120.00°
With the nearest neighbours (Å) after each atom.
Fractional positions:
Re 0.3333 0.6667 0.1638  9 Re 2.72-2.75, 3 Rh 2.77
Re 0.6667 0.3333 0.8362  9 Re 2.72-2.75, 3 Rh 2.77
Rh 0.0000 0.0000 0.5000  6 Rh 2.75, 6 Re 2.77

Summary:
D(E_F) = 3.0 states/eV/f.u.
Formation energy from the elements = 0.000 eV per atom
Polymorph energy (0 for the lowest one) = 134 meV per atom



Record 4
A geometry-optimized AcNbN3 structure. Source: the Alexandria database, functional GGA-PBE.

Cell: 6.3698 6.3698 6.6103 Å, 105.50 105.50 38.23°
With the nearest neighbours (Å) after each atom.
Fractional positions:
Ac 0.1115 0.1115 0.3288  6 N 2.59-2.70
Ac 0.8885 0.8885 0.6712  6 N 2.59-2.70
Nb 0.3451 0.3451 0.1210  2 N 1.89-2.12
Nb 0.6549 0.6549 0.8790  2 N 1.89-2.12
N 0.1658 0.1658 0.9634  3 Nb 2.12-2.15
N 0.3367 0.3367 0.4021  1 Nb 1.89
N 0.4800 0.4800 0.8865  1 N 1.44
N 0.5200 0.5200 0.1135  1 N 1.44
N 0.6633 0.6633 0.5979  1 Nb 1.89
N 0.8342 0.8342 0.0366  3 Nb 2.12-2.15

Summary:
E_form (uncorrected) = -92.5 kJ per mole of atoms



Record 5
A geometry-optimized CsCaTlSiSe structure. Source: the Alexandria database, functional GGA-PBE.

Cell: 5.9733 5.9733 8.3722 Å, 114.67 114.67 45.61°
With the nearest neighbours (Å) after each atom.
Fractional positions:
Cs 0.0000 0.0000 0.0000  2 Se 3.79, 2 Si 3.79, 2 Tl 3.98
Ca 0.1130 0.1130 0.5687  2 Se 2.91, 2 Si 3.18
Tl 0.7711 0.7711 0.3806  2 Si 3.01, 1 Se 3.06, 1 Ca 3.36
Si 0.4308 0.4308 0.6097  1 Se 2.51
Se 0.4824 0.4824 0.3466  1 Si 2.51

Summary:
D(E_F) = 0.4 states/eV/f.u.
E_form (uncorrected) = -38.5 kJ per mole of atoms
Polymorph energy (0 for the lowest one) = 264 meV per atom



Record 6
A geometry-optimized NaUMnSe3 structure. Source: the Alexandria database, functional GGA-PBE.

Cell: 8.4704 4.1091 9.3245 Å, 90.00 102.76 90.00°
With the nearest neighbours (Å) after each atom.
Fractional positions:
Na 0.1848 0.2500 0.2235  5 Se 3.06-3.27
Na 0.8152 0.7500 0.7765  5 Se 3.06-3.27
U 0.3337 0.7500 0.8433  6 Se 2.88-2.89
U 0.6663 0.2500 0.1567  6 Se 2.88-2.89
Mn 0.0794 0.2500 0.5943  4 Se 2.48-2.55
Mn 0.9206 0.7500 0.4057  4 Se 2.48-2.55
Se 0.1000 0.2500 0.8636  1 Mn 2.48
Se 0.2210 0.7500 0.5282  3 Mn 2.52-2.55
Se 0.4293 0.7500 0.1610  3 U 2.88-2.89, 2 Na 3.06
Se 0.5707 0.2500 0.8390  3 U 2.88-2.89, 2 Na 3.06
Se 0.7790 0.2500 0.4718  3 Mn 2.52-2.55
Se 0.9000 0.7500 0.1364  1 Mn 2.48

Summary:
D(E_F) = 6.4 states/eV/f.u.
E_form (uncorrected) = -86.8 kJ per mole of atoms



Record 7
A geometry-optimized LuHfCu2 structure. Source: the Alexandria database, functional GGA-PBE.

Cell: 4.6820 4.6820 4.6820 Å, 60.00 60.00 60.00°
With the nearest neighbours (Å) after each atom.
Fractional positions:
Lu 0.0000 0.0000 0.0000  8 Cu 2.87
Hf 0.5000 0.5000 0.5000  8 Cu 2.87
Cu 0.2500 0.2500 0.2500  4 Hf 2.87, 4 Lu 2.87
Cu 0.7500 0.7500 0.7500  4 Hf 2.87, 4 Lu 2.87

Summary:
D(E_F) = 3.9 states/eV/f.u.
Formation energy from the elements = -0.148 eV per atom
Polymorph energy (0 for the lowest one) = 33 meV per atom



Record 8
A geometry-optimized NdEr2Zn structure. Source: the Alexandria database, functional GGA-PBE.

Cell: 3.5600 3.5600 8.7107 Å, 90.00 90.00 90.00°
With the nearest neighbours (Å) after each atom.
Fractional positions:
Nd 0.0000 0.0000 0.0000  4 Nd 3.56, 8 Er 3.62
Er 0.5000 0.5000 0.2990  4 Zn 3.07
Er 0.5000 0.5000 0.7010  4 Zn 3.07
Zn 0.0000 0.0000 0.5000  8 Er 3.07

Summary:
D(E_F) = 4.5 states/eV/f.u.
Formation energy from the elements = -0.166 eV per atom
Polymorph energy (0 for the lowest one) = 0 meV per atom



Record 9
A geometry-optimized RbSr2Te2O6 structure. Source: the Alexandria database, functional GGA-PBE.

Cell: 6.1554 6.3990 7.3921 Å, 68.80 74.83 74.16°
With the nearest neighbours (Å) after each atom.
Fractional positions:
Rb 0.0000 0.0000 0.0000  4 O 2.97-2.99
Sr 0.3118 0.8031 0.4967  6 O 2.45-2.63
Sr 0.6882 0.1969 0.5033  6 O 2.45-2.63
Te 0.2950 0.3746 0.1781  3 O 1.92-1.95
Te 0.7050 0.6254 0.8219  3 O 1.92-1.95
O 0.0776 0.1687 0.2987  1 Te 1.95
O 0.3286 0.4909 0.3726  1 Te 1.92
O 0.4588 0.8872 0.7545  1 Te 1.94
O 0.5412 0.1128 0.2455  1 Te 1.94
O 0.6714 0.5091 0.6274  1 Te 1.92
O 0.9224 0.8313 0.7013  1 Te 1.95

Summary:
D(E_F) = 2.4 states/eV/f.u.
E_form (uncorrected) = -172.4 kJ per mole of atoms



Record 10
A geometry-optimized TaAsBr2F structure. Source: the Alexandria database, functional GGA-PBE.

Cell: 5.1890 5.1890 3.8530 Å, 90.00 90.00 90.00°
With the nearest neighbours (Å) after each atom.
Fractional positions:
Ta 0.0000 0.0000 0.0000  8 Br 3.23
As 0.5000 0.5000 0.0000  2 F 1.93
Br 0.0000 0.5000 0.5000  2 F 2.59
Br 0.5000 0.0000 0.5000  2 F 2.59
F 0.5000 0.5000 0.5000  2 As 1.93

Summary:
D(E_F) = 5.0 states/eV/f.u.
E_form (uncorrected) = 56.3 kJ per mole of atoms
Polymorph energy (0 for the lowest one) = 788 meV per atom



Record 11
A geometry-optimized CaTlW structure. Source: the Alexandria database, functional GGA-PBE.

Cell: 5.1235 5.1235 2.9638 Å, 90.00 90.00 120.00°
With the nearest neighbours (Å) after each atom.
Fractional positions:
Ca 0.0000 0.0000 0.0000  2 Ca 2.96, 6 Tl 3.31, 6 W 3.31
Tl 0.3333 0.6667 0.5000  3 W 2.96, 2 Tl 2.96, 6 Ca 3.31
W 0.6667 0.3333 0.5000  3 Tl 2.96, 2 W 2.96, 6 Ca 3.31

Summary:
D(E_F) = 3.6 states/eV/f.u.
Formation energy from the elements = 0.838 eV per atom
Polymorph energy (0 for the lowest one) = 172 meV per atom



Record 12
A geometry-optimized Ho5Sn structure. Source: the Alexandria database, functional GGA-PBE.

Cell: 7.8028 7.8028 4.8475 Å, 90.00 90.00 144.06°
With the nearest neighbours (Å) after each atom.
Fractional positions:
Ho 0.0000 0.0000 0.0000  8 Ho 3.41-3.46, 4 Sn 3.42
Ho 0.1619 0.8381 0.5000  2 Sn 3.40, 10 Ho 3.41-3.56
Ho 0.3325 0.6675 0.0000  10 Ho 3.42-3.51, 2 Sn 3.47
Ho 0.6675 0.3325 0.0000  10 Ho 3.42-3.51, 2 Sn 3.47
Ho 0.8381 0.1619 0.5000  2 Sn 3.40, 10 Ho 3.41-3.56
Sn 0.5000 0.5000 0.5000  12 Ho 3.40-3.47

Summary:
D(E_F) = 6.4 states/eV/f.u.
Formation energy from the elements = -0.267 eV per atom



Across the entries above, total magnetic moment takes the values 0.65, 0.00, 0.00, 0.00, 0.00, 13.38, 0.00, 0.00, 0.97, 0.00, 0.00, 0.00 μB/cell, respectively.